Record 1
Pu3GePt PBE optimized geometry; formation energy from the elements = -0.4595 eV/atom; DOS at the Fermi energy = 18.39 states/eV/f.u.; distance to the lowest polymorph of the same formula = 0.000 eV per atom; SG = Cm
1.0
-0.7648 1.5968 3.0139
-7.4602 -1.9878 -2.8632
-1.0353 -1.7317 4.7086
Pu Ge Pt
3 1 1
Cartesian
-4.1073 -1.2159 5.0342
-7.3049 -1.4961 -1.7103
-4.8942 0.2455 2.0331
-6.1431 -2.2766 1.0249
-1.9352 -0.4007 3.1249


Record 2
SrCaSmGd PBE optimized geometry; formation energy from the elements = 0.1801 eV/atom; DOS at the Fermi energy = 6.69 states/eV/f.u.; SG = F-43m
1.0
6.0238 0.0000 0.0000
3.0119 5.2168 0.0000
3.0119 1.7389 4.9184
Sr Ca Gd Sm
1 1 1 1
Cartesian
9.0357 5.2168 3.6888
6.0238 3.4778 2.4592
0.0000 0.0000 0.0000
3.0119 1.7389 1.2296